TbDy3ThSc, optimized geometry, DFT PBE; DOS(E_F) = 1.6216 states/eV/atom; raw total energy = -5.32 eV per atom
1.0
4.948 0.000 0.000
-2.474 7.402 0.000
0.000 0.000 10.014
Tb Dy Th Sc
2 6 2 2
direct
0.000 0.000 0.500 Tb
0.000 0.000 0.000 Tb
0.665 0.330 0.500 Dy
0.335 0.670 0.500 Dy
0.335 0.670 0.000 Dy
0.665 0.330 0.000 Dy
0.168 0.336 0.750 Dy
0.832 0.664 0.250 Dy
0.497 0.994 0.750 Th
0.503 0.006 0.250 Th
0.835 0.671 0.750 Sc
0.165 0.329 0.250 Sc